VASP calculation (PBE-GGA) on a relaxed Tc4SbPb crystal.

Cell and atoms, written as POSCAR:
```
Tc4SbPb
1.0
0.0000 3.7787 3.7787
3.7787 0.0000 3.7787
3.7787 3.7787 0.0000
Tc Sb Pb
4 1 1
Cartesian
2.8378 2.8378 2.8378 Tc
4.7195 4.7195 2.8378 Tc
4.7195 2.8378 4.7195 Tc
2.8378 4.7195 4.7195 Tc
5.6680 5.6680 5.6680 Sb
0.0000 0.0000 0.0000 Pb
```

## Properties
Electronic total energy ... -45.97 eV for the cell shown

=====

VASP calculation (PBE-GGA) on a relaxed BaCa3Rh crystal.

Cell and atoms, written as POSCAR:
```
BaCa3Rh
1.0
7.8261 0.0000 0.0000
-2.2950 7.5001 0.0000
-2.2982 -3.9993 6.3465
Ba Ca Rh
2 6 2
Cartesian
0.0000 0.0000 0.0000 Ba
-0.7960 3.0528 5.4799 Ba
-2.8610 -0.0406 5.3830 Ca
2.1092 -1.5016 2.6712 Ca
1.5586 2.4176 2.7922 Ca
1.0493 -0.4743 5.7061 Ca
3.7165 5.4510 2.8788 Ca
5.4708 1.9362 1.9725 Ca
-0.3864 0.3819 3.3804 Rh
3.5251 -2.3877 4.9108 Rh
```

## Properties
Calculated formation energy ... -202 meV per atom

=====

VASP calculation (PBE-GGA) on a relaxed Tl2Hg3Bi2 crystal.

Cell and atoms, written as POSCAR:
```
Tl2Hg3Bi2
1.0
2.1399 -14.7534 0.0000
2.1399 14.7534 0.0000
0.0000 0.0000 3.4329
Tl Hg Bi
2 3 2
Cartesian
2.1399 10.8300 0.0000 Tl
2.1399 -10.8300 0.0000 Tl
0.0000 0.0000 0.0000 Hg
2.1399 1.8610 1.7165 Hg
2.1399 -1.8610 1.7165 Hg
2.1399 6.2424 1.7165 Bi
2.1399 -6.2424 1.7165 Bi
```

## Properties
Calculated formation energy ... -1 meV per atom